A relaxed LuZrMnCu crystal, computed with GGA-PBE.

## Properties
SG: No. 216
Formation enthalpy at 0 K (eV/atom): 0.00

Cell lengths 4.6281, 4.6281, 4.6281 Å; angles 60.00, 60.00, 60.00 degrees
With the nearest neighbours (Å) after each atom.
Element x y z (fractional)
Mn  0.7500  0.7500  0.7500  4 Lu 2.83, 4 Zr 2.83
Zr  0.5000  0.5000  0.5000  4 Mn 2.83, 4 Cu 2.83
Cu  0.2500  0.2500  0.2500  4 Zr 2.83, 4 Lu 2.83
Lu  0.0000  0.0000  0.0000  4 Cu 2.83, 4 Mn 2.83

A relaxed LuThCuMo crystal, computed with GGA-PBE.

## Properties
SG: No. 216
Formation enthalpy at 0 K (eV/atom): 0.05

Cell lengths 4.9466, 4.9466, 4.9466 Å; angles 60.00, 60.00, 60.00 degrees
With the nearest neighbours (Å) after each atom.
Element x y z (fractional)
Lu  0.0000  0.0000  0.0000  4 Mo 3.03, 4 Cu 3.03
Cu  0.2500  0.2500  0.2500  4 Th 3.03, 4 Lu 3.03
Mo  0.7500  0.7500  0.7500  4 Lu 3.03, 4 Th 3.03
Th  0.5000  0.5000  0.5000  4 Mo 3.03, 4 Cu 3.03

A relaxed Lu3CuN crystal, computed with GGA-PBE.

## Properties
SG: No. 221
Formation energy from raw total energies (eV per atom): -0.714

Cell lengths 4.6088, 4.6088, 4.6088 Å; angles 90.00, 90.00, 90.00 degrees
With the nearest neighbours (Å) after each atom.
Element x y z (fractional)
Lu  0.0000  0.5000  0.0000  2 N 2.30
Lu  0.0000  0.0000  0.5000  2 N 2.30
Lu  0.5000  0.0000  0.0000  2 N 2.30
Cu  0.5000  0.5000  0.5000  12 Lu 3.26
N  0.0000  0.0000  0.0000  6 Lu 2.30

A relaxed Lu4Cu2N crystal, computed with GGA-PBE.

## Properties
SG: No. 139
Formation energy from raw total energies (eV per atom): -0.545

Cell lengths 4.5787, 4.5787, 7.5202 Å; angles 107.72, 107.72, 90.00 degrees
With the nearest neighbours (Å) after each atom.
Element x y z (fractional)
Cu  0.3756  0.3756  0.7512  5 Lu 2.68-2.84
Cu  0.6244  0.6244  0.2488  5 Lu 2.68-2.84
N  0.0000  0.0000  0.0000  6 Lu 2.29-2.42
Lu  0.1782  0.1782  0.3564  1 N 2.42, 1 Cu 2.68
Lu  0.0000  0.5000  0.0000  2 N 2.29
Lu  0.8218  0.8218  0.6436  1 N 2.42, 1 Cu 2.68
Lu  0.5000  0.0000  0.0000  2 N 2.29

A relaxed LuNbCu4 crystal, computed with GGA-PBE.

## Properties
SG: No. 216
Formation enthalpy at 0 K (eV/atom): 0.01

Cell lengths 5.0526, 5.0526, 5.0526 Å; angles 60.00, 60.00, 60.00 degrees
With the nearest neighbours (Å) after each atom.
Element x y z (fractional)
Cu  0.1271  0.6243  0.6243  6 Cu 2.51-2.54
Cu  0.6243  0.6243  0.6243  6 Cu 2.51-2.54
Cu  0.6243  0.6243  0.1271  6 Cu 2.51-2.54
Cu  0.6243  0.1271  0.6243  6 Cu 2.51-2.54
Nb  0.2500  0.2500  0.2500  12 Cu 2.96, 4 Lu 3.09
Lu  0.0000  0.0000  0.0000  12 Cu 2.96, 4 Nb 3.09

A relaxed LuNbCuOs crystal, computed with GGA-PBE.

## Properties
SG: No. 216
Formation enthalpy at 0 K (eV/atom): -0.14

Cell lengths 4.6076, 4.6076, 4.6076 Å; angles 60.00, 60.00, 60.00 degrees
With the nearest neighbours (Å) after each atom.
Element x y z (fractional)
Cu  0.2500  0.2500  0.2500  4 Nb 2.82, 4 Lu 2.82
Lu  0.0000  0.0000  0.0000  4 Os 2.82, 4 Cu 2.82
Nb  0.5000  0.5000  0.5000  4 Cu 2.82, 4 Os 2.82
Os  0.7500  0.7500  0.7500  4 Lu 2.82, 4 Nb 2.82

A relaxed LuNbCuRe crystal, computed with GGA-PBE.

## Properties
SG: No. 216
Formation enthalpy at 0 K (eV/atom): -0.01

Cell lengths 4.6201, 4.6201, 4.6201 Å; angles 60.00, 60.00, 60.00 degrees
With the nearest neighbours (Å) after each atom.
Element x y z (fractional)
Cu  0.5000  0.5000  0.5000  4 Nb 2.83, 4 Lu 2.83
Lu  0.7500  0.7500  0.7500  4 Re 2.83, 4 Cu 2.83
Re  0.0000  0.0000  0.0000  4 Lu 2.83, 4 Nb 2.83
Nb  0.2500  0.2500  0.2500  4 Cu 2.83, 4 Re 2.83

A relaxed LuNbCuRu crystal, computed with GGA-PBE.

## Properties
SG: No. 216
Formation enthalpy at 0 K (eV/atom): -0.16

Cell lengths 4.6029, 4.6029, 4.6029 Å; angles 60.00, 60.00, 60.00 degrees
With the nearest neighbours (Å) after each atom.
Element x y z (fractional)
Ru  0.7500  0.7500  0.7500  4 Nb 2.82, 4 Lu 2.82
Cu  0.2500  0.2500  0.2500  4 Nb 2.82, 4 Lu 2.82
Nb  0.5000  0.5000  0.5000  4 Ru 2.82, 4 Cu 2.82
Lu  0.0000  0.0000  0.0000  4 Ru 2.82, 4 Cu 2.82

A relaxed LuNbCuTc crystal, computed with GGA-PBE.

## Properties
SG: No. 216
Formation enthalpy at 0 K (eV/atom): -0.08

Cell lengths 4.6097, 4.6097, 4.6097 Å; angles 60.00, 60.00, 60.00 degrees
With the nearest neighbours (Å) after each atom.
Element x y z (fractional)
Cu  0.2500  0.2500  0.2500  4 Nb 2.82, 4 Lu 2.82
Nb  0.5000  0.5000  0.5000  4 Tc 2.82, 4 Cu 2.82
Tc  0.7500  0.7500  0.7500  4 Nb 2.82, 4 Lu 2.82
Lu  0.0000  0.0000  0.0000  4 Tc 2.82, 4 Cu 2.82

A relaxed Nd2LuCu crystal, computed with GGA-PBE.

## Properties
Distance to the lowest polymorph of the same formula (eV/atom): 0.310
SG: No. 166
Formation enthalpy at 0 K (eV/atom): 0.28

Cell lengths 3.4862, 3.4862, 11.2986 Å; angles 81.13, 81.13, 60.00 degrees
With the nearest neighbours (Å) after each atom.
Element x y z (fractional)
Nd  0.8986  0.8986  0.3041  3 Cu 2.97
Nd  0.1014  0.1014  0.6959  3 Cu 2.97
Cu  0.5000  0.5000  0.5000  6 Nd 2.97
Lu  0.0000  0.0000  0.0000  2 Nd 3.38, 6 Lu 3.49

A relaxed NdLuCu4 crystal, computed with GGA-PBE.

## Properties
SG: No. 216
Formation enthalpy at 0 K (eV/atom): -0.14

Cell lengths 5.2818, 5.2818, 5.2818 Å; angles 60.00, 60.00, 60.00 degrees
With the nearest neighbours (Å) after each atom.
Element x y z (fractional)
Cu  0.6237  0.1290  0.6237  6 Cu 2.61-2.67
Cu  0.6237  0.6237  0.1290  6 Cu 2.61-2.67
Cu  0.1290  0.6237  0.6237  6 Cu 2.61-2.67
Cu  0.6237  0.6237  0.6237  6 Cu 2.61-2.67
Lu  0.2500  0.2500  0.2500  12 Cu 3.09, 4 Nd 3.23
Nd  0.0000  0.0000  0.0000  12 Cu 3.10, 4 Lu 3.23

A relaxed NdLuCu2 crystal, computed with GGA-PBE.

## Properties
Distance to the lowest polymorph of the same formula (eV/atom): 0.025
SG: No. 225
Formation enthalpy at 0 K (eV/atom): -0.20

Cell lengths 4.9490, 4.9490, 4.9490 Å; angles 60.00, 60.00, 60.00 degrees
With the nearest neighbours (Å) after each atom.
Element x y z (fractional)
Lu  0.0000  0.0000  0.0000  8 Cu 3.03
Cu  0.2500  0.2500  0.2500  4 Lu 3.03, 4 Nd 3.03
Cu  0.7500  0.7500  0.7500  4 Nd 3.03, 4 Lu 3.03
Nd  0.5000  0.5000  0.5000  8 Cu 3.03

A relaxed NdLuCu2 crystal, computed with GGA-PBE.

## Properties
Distance to the lowest polymorph of the same formula (eV/atom): 0.000
SG: No. 123
Formation enthalpy at 0 K (eV/atom): -0.23

Cell lengths 3.4581, 3.4581, 7.0900 Å; angles 90.00, 90.00, 90.00 degrees
With the nearest neighbours (Å) after each atom.
Element x y z (fractional)
Cu  0.0000  0.0000  0.2196  4 Lu 2.90, 1 Cu 3.11, 4 Nd 3.15
Cu  0.0000  0.0000  0.7804  4 Lu 2.90, 1 Cu 3.11, 4 Nd 3.15
Lu  0.5000  0.5000  0.0000  8 Cu 2.90
Nd  0.5000  0.5000  0.5000  8 Cu 3.15, 4 Nd 3.46

A relaxed Nd2LuCu crystal, computed with GGA-PBE.

## Properties
Distance to the lowest polymorph of the same formula (eV/atom): 0.000
SG: No. 123
Formation enthalpy at 0 K (eV/atom): -0.03

Cell lengths 3.6235, 3.6235, 8.4921 Å; angles 90.00, 90.00, 90.00 degrees
With the nearest neighbours (Å) after each atom.
Element x y z (fractional)
Cu  0.5000  0.5000  0.0000  8 Nd 3.10
Nd  0.0000  0.0000  0.7935  4 Cu 3.10
Nd  0.0000  0.0000  0.2065  4 Cu 3.10
Lu  0.5000  0.5000  0.5000  8 Nd 3.57, 4 Lu 3.62

A relaxed NdLu3Cu crystal, computed with GGA-PBE.

## Properties
SG: No. 221
Formation enthalpy at 0 K (eV/atom): 0.05

Cell lengths 5.2805, 5.2805, 5.2805 Å; angles 90.00, 90.00, 90.00 degrees
With the nearest neighbours (Å) after each atom.
Element x y z (fractional)
Lu  0.0000  0.5000  0.0000  2 Cu 2.64
Lu  0.0000  0.0000  0.5000  2 Cu 2.64
Lu  0.5000  0.0000  0.0000  2 Cu 2.64
Cu  0.0000  0.0000  0.0000  6 Lu 2.64
Nd  0.5000  0.5000  0.5000  12 Lu 3.73

Number 1: spin magnetization 0.00 Bohr magnetons per cell, mass density 9.113 g/cm³. Number 2: spin magnetization 0.00 Bohr magnetons per cell, mass density 10.991 g/cm³. Number 3: spin magnetization 0.66 Bohr magnetons per cell, mass density 10.219 g/cm³. Number 4: spin magnetization 0.01 Bohr magnetons per cell, mass density 9.814 g/cm³. Number 5: spin magnetization 1.59 Bohr magnetons per cell, mass density 9.505 g/cm³. Number 6: spin magnetization 0.00 Bohr magnetons per cell, mass density 12.523 g/cm³. Number 7: spin magnetization 0.00 Bohr magnetons per cell, mass density 12.326 g/cm³. Number 8: spin magnetization 0.00 Bohr magnetons per cell, mass density 10.415 g/cm³. Number 9: spin magnetization 0.00 Bohr magnetons per cell, mass density 10.295 g/cm³. Number 10: spin magnetization 0.00 Bohr magnetons per cell, mass density 7.478 g/cm³. Number 11: spin magnetization 0.00 Bohr magnetons per cell, mass density 9.138 g/cm³. Number 12: spin magnetization 0.00 Bohr magnetons per cell, mass density 8.646 g/cm³. Number 13: spin magnetization 0.00 Bohr magnetons per cell, mass density 8.741 g/cm³. Number 14: spin magnetization 0.00 Bohr magnetons per cell, mass density 7.848 g/cm³. Number 15: spin magnetization 0.00 Bohr magnetons per cell, mass density 8.263 g/cm³.